1.
VASP calculation (PBE) on Dy2ErZn3InGa2 after structural relaxation.

The value obtained for the mass density is 8.4 g/cm³. Its space group is No. 38. The value obtained for the total energy is -30.957 eV/cell.

Geometry as extended XYZ:
```
9
Lattice="-2.836 1.515 -2.977 -4.932 0.523 4.965 4.253 5.432 -1.288" Properties=species:S:1:pos:R:3 pbc="T T T"
Dy -2.183 0.234 2.199
Dy 1.882 2.407 -0.568
Er -0.378 3.317 2.049
Ga -3.281 2.922 1.388
Ga -0.234 4.550 -0.686
In -0.678 5.946 3.672
Zn -5.097 1.147 2.216
Zn -1.591 2.272 -0.553
Zn 1.755 4.809 -2.449
```

***

2.
VASP calculation (PBE) on Pa2Mo after structural relaxation.

The value obtained for the mass density is 4.6 g/cm³. The energy above the lowest structure with this stoichiometry comes out at 6.32 eV/f.u. Its space group is No. 227. The formation energy comes out at 201.2 kJ/mol of atoms. The value obtained for the total energy is -47.169 eV/cell.

Geometry as extended XYZ:
```
6
Lattice="4.140 2.390 6.760 -4.140 2.390 6.760 0.000 -4.780 6.760" Properties=species:S:1:pos:R:3 pbc="T T T"
Mo 0.000 0.000 5.070
Mo 0.000 0.000 10.140
Pa 0.000 0.000 7.605
Pa -2.070 1.195 10.985
Pa 2.070 1.195 10.985
Pa 0.000 -2.390 10.985
```